Computed, not measured: Pa3TiN6 after structural relaxation at the GGA-PBE level of DFT.

- Formation energy (no corrections): -1.648 eV/atom
- Space-group type: Cmc2_1, No. 36

Cell: 5.5160 7.1747 7.1747 Å, 100.58 90.00 90.00°
Positions (direct):
N (0.6970, 0.3350, 0.3566)
N (0.6678, 0.5985, 0.1026)
N (0.6678, 0.8974, 0.4015)
N (0.7594, 0.9761, 0.0239)
N (0.6970, 0.6434, 0.6650)
N (0.1436, 0.7816, 0.2184)
N (0.1970, 0.3566, 0.3350)
N (0.6436, 0.2184, 0.7816)
N (0.1678, 0.1026, 0.5985)
N (0.2594, 0.0239, 0.9761)
N (0.1970, 0.6650, 0.6434)
N (0.1678, 0.4015, 0.8974)
Pa (0.9209, 0.6098, 0.3902)
Pa (0.9690, 0.6898, 0.9123)
Pa (0.4209, 0.3902, 0.6098)
Pa (0.4690, 0.3102, 0.0877)
Pa (0.9690, 0.0877, 0.3102)
Pa (0.4690, 0.9123, 0.6898)
Ti (0.4938, 0.8401, 0.1599)
Ti (0.9938, 0.1599, 0.8401)

=====

Computed, not measured: Pa3TiN7 after structural relaxation at the GGA-PBE level of DFT.

- Formation energy (no corrections): -1.445 eV/atom
- Space-group type: C222_1, No. 20

Cell: 6.3230 6.3230 7.6526 Å, 90.00 90.00 102.59°
Positions (direct):
N (0.6406, 0.3594, 0.2500)
N (0.0893, 0.3581, 0.9827)
N (0.3581, 0.0893, 0.0173)
N (0.9246, 0.0754, 0.2500)
N (0.1575, 0.3042, 0.5093)
N (0.6419, 0.9107, 0.5173)
N (0.9107, 0.6419, 0.4827)
N (0.0754, 0.9246, 0.7500)
N (0.3042, 0.1575, 0.4907)
N (0.6958, 0.8425, 0.9907)
N (0.3606, 0.6394, 0.2500)
N (0.3594, 0.6406, 0.7500)
N (0.6394, 0.3606, 0.7500)
N (0.8425, 0.6958, 0.0093)
Ti (0.9617, 0.9617, 0.5000)
Ti (0.0383, 0.0383, 0.0000)
Pa (0.5141, 0.5141, 0.5000)
Pa (0.4549, 0.0002, 0.7439)
Pa (0.9998, 0.5451, 0.7561)
Pa (0.4859, 0.4859, 0.0000)
Pa (0.5451, 0.9998, 0.2439)
Pa (0.0002, 0.4549, 0.2561)

=====

Computed, not measured: Pa3Ti5N12 after structural relaxation at the GGA-PBE level of DFT.

- Formation energy (no corrections): -1.386 eV/atom
- Space-group type: Ia-3d, No. 230

Cell: 10.9234 10.9234 10.9234 Å, 109.47 109.47 109.47°
Positions (direct):
N (0.8705, 0.2896, 0.4665)
N (0.0960, 0.1769, 0.4665)
N (0.2896, 0.8705, 0.9665)
N (0.5809, 0.7104, 0.6769)
N (0.2104, 0.5335, 0.6295)
N (0.1295, 0.7104, 0.5335)
N (0.9191, 0.0960, 0.6295)
N (0.6769, 0.4665, 0.5960)
N (0.7104, 0.1295, 0.0335)
N (0.4191, 0.1295, 0.5960)
N (0.4665, 0.6769, 0.0960)
N (0.4040, 0.0335, 0.3231)
N (0.5960, 0.6295, 0.4191)
N (0.1295, 0.4191, 0.0960)
N (0.2896, 0.4191, 0.8231)
N (0.0809, 0.1769, 0.2104)
N (0.3231, 0.7896, 0.4191)
N (0.9040, 0.0809, 0.8705)
N (0.9665, 0.5960, 0.1769)
N (0.5335, 0.2104, 0.1295)
N (0.3705, 0.4040, 0.0809)
N (0.7896, 0.3231, 0.9191)
N (0.1769, 0.0960, 0.9665)
N (0.9665, 0.3705, 0.2896)
N (0.7896, 0.4665, 0.3705)
N (0.7104, 0.5809, 0.1769)
N (0.0335, 0.6295, 0.7104)
N (0.6295, 0.0335, 0.2104)
N (0.0335, 0.4040, 0.8231)
N (0.0960, 0.9191, 0.1295)
N (0.9191, 0.8231, 0.7896)
N (0.4040, 0.3705, 0.5809)
N (0.5809, 0.8705, 0.4040)
N (0.6295, 0.5960, 0.9191)
N (0.3705, 0.9665, 0.7896)
N (0.9040, 0.8231, 0.5335)
N (0.1769, 0.0809, 0.7104)
N (0.5960, 0.9665, 0.6769)
N (0.4665, 0.7896, 0.8705)
N (0.8705, 0.5809, 0.9040)
N (0.4191, 0.2896, 0.3231)
N (0.0809, 0.9040, 0.3705)
N (0.2104, 0.6769, 0.0809)
N (0.8231, 0.9040, 0.0335)
N (0.6769, 0.2104, 0.5809)
N (0.5335, 0.3231, 0.9040)
N (0.8231, 0.9191, 0.2896)
N (0.3231, 0.5335, 0.4040)
Pa (0.6250, 0.3750, 0.7500)
Pa (0.1250, 0.2500, 0.8750)
Pa (0.8750, 0.7500, 0.1250)
Pa (0.3750, 0.7500, 0.6250)
Pa (0.2500, 0.6250, 0.8750)
Pa (0.6250, 0.2500, 0.3750)
Pa (0.7500, 0.3750, 0.1250)
Pa (0.2500, 0.1250, 0.3750)
Pa (0.8750, 0.1250, 0.2500)
Pa (0.3750, 0.6250, 0.2500)
Pa (0.1250, 0.8750, 0.7500)
Pa (0.7500, 0.8750, 0.6250)
Ti (0.3750, 0.1250, 0.7500)
Ti (0.5000, 0.0000, 0.0000)
Ti (0.8750, 0.2500, 0.6250)
Ti (0.5000, 0.5000, 0.5000)
Ti (0.0000, 0.5000, 0.0000)
Ti (0.6250, 0.8750, 0.2500)
Ti (0.0000, 0.0000, 0.0000)
Ti (0.2500, 0.8750, 0.1250)
Ti (0.7500, 0.1250, 0.8750)
Ti (0.5000, 0.5000, 0.0000)
Ti (0.5000, 0.0000, 0.5000)
Ti (0.1250, 0.7500, 0.3750)
Ti (0.7500, 0.6250, 0.3750)
Ti (0.2500, 0.3750, 0.6250)
Ti (0.0000, 0.5000, 0.5000)
Ti (0.1250, 0.3750, 0.2500)
Ti (0.6250, 0.7500, 0.8750)
Ti (0.3750, 0.2500, 0.1250)
Ti (0.8750, 0.6250, 0.7500)
Ti (0.0000, 0.0000, 0.5000)

=====

Computed, not measured: Pa6TiN12 after structural relaxation at the GGA-PBE level of DFT.

- Formation energy (no corrections): -1.505 eV/atom
- Space-group type: R-3, No. 148

Cell: 6.5438 6.5438 6.5438 Å, 98.89 98.89 98.89°
Positions (direct):
N (0.9363, 0.6894, 0.0581)
N (0.9419, 0.0637, 0.3106)
N (0.8246, 0.4045, 0.5624)
N (0.4045, 0.5624, 0.8246)
N (0.3106, 0.9419, 0.0637)
N (0.0637, 0.3106, 0.9419)
N (0.6894, 0.0581, 0.9363)
N (0.5955, 0.4376, 0.1754)
N (0.1754, 0.5955, 0.4376)
N (0.0581, 0.9363, 0.6894)
N (0.5624, 0.8246, 0.4045)
N (0.4376, 0.1754, 0.5955)
Pa (0.7106, 0.3995, 0.8643)
Pa (0.2894, 0.6005, 0.1357)
Pa (0.3995, 0.8643, 0.7106)
Pa (0.6005, 0.1357, 0.2894)
Pa (0.8643, 0.7106, 0.3995)
Pa (0.1357, 0.2894, 0.6005)
Ti (0.0000, 0.0000, 0.0000)

=====

Computed, not measured: TmPa2TiN5 after structural relaxation at the GGA-PBE level of DFT.

- Formation energy (no corrections): -1.519 eV/atom
- Space-group type: Cmc2_1, No. 36

Cell: 3.3897 6.9777 10.2850 Å, 90.00 90.00 104.06°
Positions (direct):
Ti (0.4803, 0.9606, 0.4717)
Ti (0.5197, 0.0394, 0.9717)
Pa (0.8605, 0.7210, 0.7856)
Pa (0.1395, 0.2790, 0.2856)
Pa (0.1127, 0.2253, 0.6914)
Pa (0.8873, 0.7747, 0.1914)
Tm (0.7876, 0.5751, 0.4989)
Tm (0.2124, 0.4249, 0.9989)
N (0.6772, 0.3543, 0.8516)
N (0.3777, 0.7554, 0.0160)
N (0.6223, 0.2446, 0.5160)
N (0.0477, 0.0954, 0.0631)
N (0.7183, 0.4366, 0.1632)
N (0.5166, 0.0333, 0.2825)
N (0.9523, 0.9046, 0.5631)
N (0.4834, 0.9667, 0.7825)
N (0.2817, 0.5634, 0.6632)
N (0.3228, 0.6457, 0.3516)

=====

Computed, not measured: TmPa2TiN6 after structural relaxation at the GGA-PBE level of DFT.

- Formation energy (no corrections): -1.386 eV/atom
- Space-group type: R3, No. 146

Cell: 5.7243 5.7243 5.8803 Å, 60.87 60.87 60.00°
Positions (direct):
N (0.4109, 0.6930, 0.7583)
N (0.6930, 0.1378, 0.7584)
N (0.1378, 0.4109, 0.7583)
N (0.9540, 0.5970, 0.2441)
N (0.2049, 0.9540, 0.2441)
N (0.5970, 0.2049, 0.2441)
Tm (0.8020, 0.8020, 0.5940)
Pa (0.5275, 0.5275, 0.4176)
Pa (0.0251, 0.0251, 0.9247)
Ti (0.3094, 0.3094, 0.0717)